# PBE-GGA Cs4MgZnPb2, relaxed
# - final energy (eV for the cell shown) = -14.6
data_Cs4MgZnPb2
_cell_length_a 7.550
_cell_length_b 7.550
_cell_length_c 7.051
_cell_angle_alpha 90.32
_cell_angle_beta 90.32
_cell_angle_gamma 107.62
_space_group_name_H-M_alt 'P 1'
_space_group_IT_number 1
_space_group_name_Hall 'P 1'
loop_
_atom_site_label
_atom_site_type_symbol
_atom_site_fract_x
_atom_site_fract_y
_atom_site_fract_z
_atom_site_occupancy
Pb1 Pb 0.242 0.242 0.739 1
Cs1 Cs 0.523 0.185 0.252 1
Mg1 Mg 0.000 0.000 0.000 1
Cs2 Cs 0.477 0.815 0.748 1
Cs3 Cs 0.815 0.477 0.748 1
Pb2 Pb 0.758 0.758 0.261 1
Zn1 Zn 0.000 0.000 0.500 1
Cs4 Cs 0.185 0.523 0.252 1